[1]
The following is a DFT calculation (PBE-GGA) of a geometry-optimized Ta2ZnHRh structure.

Values from the calculation:
**Space-group type**: No. 123

Lattice parameters (Å, degrees): 4.0228 4.0228 4.1137 90.00 90.00 90.00
Sites, in units of the cell vectors:
Ta: 0.0000 0.5000 0.0000
Ta: 0.5000 0.0000 0.0000
Zn: 0.0000 0.0000 0.5000
H: 0.0000 0.0000 0.0000
Rh: 0.5000 0.5000 0.5000

---

[2]
The following is a DFT calculation (PBE-GGA) of a geometry-optimized Ir2OsBr structure.

Values from the calculation:
**Formation energy from raw total energies**: 0.607 eV/atom
**Space-group type**: No. 47

Lattice parameters (Å, degrees): 2.7934 3.6176 6.9884 90.00 90.00 90.00
Sites, in units of the cell vectors:
Ir: 0.0000 0.0000 0.1899
Ir: 0.0000 0.0000 0.8101
Os: 0.5000 0.5000 0.0000
Br: 0.0000 0.5000 0.5000

---

Number 1: polymorph energy (0 for the lowest one) 0.036 eV per atom. Number 2: polymorph energy (0 for the lowest one) 0.000 eV per atom.